(1)
# Hf2UPt (PBE, relaxed)
data_Hf2UPt
_cell_length_a 5.041
_cell_length_b 5.041
_cell_length_c 3.074
_cell_angle_alpha 90.00
_cell_angle_beta 90.00
_cell_angle_gamma 90.00
_space_group_name_H-M_alt 'P 4/m m m'
_space_group_IT_number 123
_space_group_name_Hall '-P 4 2'
loop_
_atom_site_label
_atom_site_fract_x
_atom_site_fract_y
_atom_site_fract_z
_atom_site_occupancy
Hf1 0.000 0.500 0.000 1
U1 0.000 0.000 0.500 1
Pt1 0.500 0.500 0.500 1
# Energy, eV per atom: -9.588
# Formation energy from the elements, kcal/mol of atoms: -6.44
# Crystal system: tetragonal
# Energy above the lowest structure with this stoichiometry, meV/atom: 79

***

(2)
# Ba2PuGa (PBE, relaxed)
data_Ba2PuGa
_cell_length_a 3.9135
_cell_length_b 3.9135
_cell_length_c 37.5626
_cell_angle_alpha 90.00
_cell_angle_beta 90.00
_cell_angle_gamma 120.00
_space_group_name_H-M_alt 'R -3 m'
_space_group_IT_number 166
_space_group_name_Hall '-R 3 2"'
loop_
_atom_site_label
_atom_site_fract_x
_atom_site_fract_y
_atom_site_fract_z
_atom_site_occupancy
Ba1 0.0000 0.0000 0.1004 1
Pu1 0.0000 0.0000 0.0000 1
Ga1 0.0000 0.0000 0.5000 1
# Energy, eV per atom: -4.943
# Formation energy from the elements, kcal/mol of atoms: 8.27
# Crystal system: trigonal

***

(3)
# RbP2Rh2 (PBE, relaxed)
data_RbP2Rh2
_cell_length_a 3.943
_cell_length_b 3.943
_cell_length_c 13.805
_cell_angle_alpha 90.00
_cell_angle_beta 90.00
_cell_angle_gamma 90.00
_space_group_name_H-M_alt 'I 4/m m m'
_space_group_IT_number 139
_space_group_name_Hall '-I 4 2'
loop_
_atom_site_label
_atom_site_fract_x
_atom_site_fract_y
_atom_site_fract_z
_atom_site_occupancy
Rb1 0.000 0.000 0.000 1
P1 0.000 0.000 0.342 1
Rh1 0.000 0.500 0.250 1
# Energy, eV per atom: -6.037
# Formation energy from the elements, kcal/mol of atoms: -17.03
# Crystal system: tetragonal

***

(4)
# YUMn (PBE, relaxed)
data_YUMn
_cell_length_a 3.330
_cell_length_b 14.436
_cell_length_c 5.203
_cell_angle_alpha 90.00
_cell_angle_beta 90.00
_cell_angle_gamma 90.00
_space_group_name_H-M_alt 'C m c m'
_space_group_IT_number 63
_space_group_name_Hall '-C 2c 2'
loop_
_atom_site_label
_atom_site_fract_x
_atom_site_fract_y
_atom_site_fract_z
_atom_site_occupancy
Y1 0.000 0.069 0.250 1
U1 0.000 0.222 0.750 1
Mn1 0.000 0.384 0.250 1
# Energy, eV per atom: -8.896
# Formation energy from the elements, kcal/mol of atoms: 1.79
# Crystal system: orthorhombic

***

(5)
# SmGePb2 (PBE, relaxed)
data_SmGePb2
_cell_length_a 3.6138
_cell_length_b 3.6138
_cell_length_c 32.5284
_cell_angle_alpha 90.00
_cell_angle_beta 90.00
_cell_angle_gamma 120.00
_space_group_name_H-M_alt 'R -3 m'
_space_group_IT_number 166
_space_group_name_Hall '-R 3 2"'
loop_
_atom_site_label
_atom_site_fract_x
_atom_site_fract_y
_atom_site_fract_z
_atom_site_occupancy
Sm1 0.0000 0.0000 0.0000 1
Ge1 0.0000 0.0000 0.5000 1
Pb1 0.0000 0.0000 0.0986 1
# Energy, eV per atom: -3.991
# Formation energy from the elements, kcal/mol of atoms: 4.54
# Crystal system: trigonal
# Energy above the lowest structure with this stoichiometry, meV/atom: 508

***

(6)
# HgAuCl2 (PBE, relaxed)
data_HgAuCl2
_cell_length_a 3.7646
_cell_length_b 3.7646
_cell_length_c 26.7638
_cell_angle_alpha 90.00
_cell_angle_beta 90.00
_cell_angle_gamma 120.00
_space_group_name_H-M_alt 'R -3 m'
_space_group_IT_number 166
_space_group_name_Hall '-R 3 2"'
loop_
_atom_site_label
_atom_site_fract_x
_atom_site_fract_y
_atom_site_fract_z
_atom_site_occupancy
Hg1 0.0000 0.0000 0.0000 1
Au1 0.0000 0.0000 0.5000 1
Cl1 0.0000 0.0000 0.1068 1
# Energy, eV per atom: -1.835
# Formation energy without anion corrections, meV/atom: -17
# Crystal system: trigonal
# Energy above the lowest structure with this stoichiometry, meV/atom: 226